Here is a geometry-optimized La4PCCl2 structure from Alexandria via LeMat-Bulk. Energies are from PBE.

**Raw total energy**: -0.4496 Ry/atom
**E_form (uncorrected)**: -1.3630 eV per atom

abc: 7.107 4.022 7.556
angles: 90.00 107.73 90.00
Element x y z (fractional)
La1 0.212 0.000 0.200
La2 0.239 0.500 0.791
La3 0.761 0.500 0.209
La4 0.788 0.000 0.800
P1 0.500 0.000 0.000
C1 0.000 0.500 0.000
Cl1 0.000 0.000 0.500
Cl2 0.500 0.500 0.500

=====

Here is a geometry-optimized LaPrCCl structure from Alexandria via LeMat-Bulk. Energies are from PBE.

**Raw total energy**: -0.4555 Ry/atom
**E_form (uncorrected)**: -1.0034 eV per atom

abc: 7.740 7.740 7.740
angles: 28.42 28.42 28.42
Element x y z (fractional)
La1 0.000 0.000 0.000
Pr1 0.794 0.794 0.794
C1 0.397 0.397 0.397
Cl1 0.227 0.227 0.227

=====

Here is a geometry-optimized La8Ru3CCl3 structure from Alexandria via LeMat-Bulk. Energies are from PBE.

**Raw total energy**: -0.4619 Ry/atom
**E_form (uncorrected)**: -0.8169 eV per atom

abc: 8.901 8.901 8.901
angles: 54.89 54.89 54.89
Element x y z (fractional)
La1 0.239 0.239 0.239
La2 0.244 0.724 0.724
La3 0.276 0.276 0.756
La4 0.276 0.756 0.276
La5 0.724 0.244 0.724
La6 0.724 0.724 0.244
La7 0.756 0.276 0.276
La8 0.761 0.761 0.761
Ru1 0.000 0.000 0.500
Ru2 0.000 0.500 0.000
Ru3 0.500 0.000 0.000
C1 0.500 0.500 0.500
Cl1 0.000 0.500 0.500
Cl2 0.500 0.000 0.500
Cl3 0.500 0.500 0.000

=====

Here is a geometry-optimized La4RuCCl2 structure from Alexandria via LeMat-Bulk. Energies are from PBE.

**Raw total energy**: -0.4586 Ry/atom
**E_form (uncorrected)**: -1.0013 eV per atom

abc: 6.997 4.016 7.771
angles: 90.00 105.86 90.00
Element x y z (fractional)
La1 0.228 0.000 0.188
La2 0.239 0.500 0.798
La3 0.761 0.500 0.202
La4 0.772 0.000 0.812
Ru1 0.500 0.000 0.000
C1 0.000 0.500 0.000
Cl1 0.000 0.000 0.500
Cl2 0.500 0.500 0.500

=====

Here is a geometry-optimized La2RuCCl structure from Alexandria via LeMat-Bulk. Energies are from PBE.

**Raw total energy**: -0.4915 Ry/atom
**E_form (uncorrected)**: -0.6466 eV per atom

abc: 5.343 5.343 3.872
angles: 90.00 90.00 90.00
Element x y z (fractional)
La1 0.000 0.500 0.000
La2 0.500 0.000 0.000
Ru1 0.000 0.000 0.500
C1 0.000 0.000 0.000
Cl1 0.500 0.500 0.500

=====

Here is a geometry-optimized La6Ru2CCl3 structure from Alexandria via LeMat-Bulk. Energies are from PBE.

**Raw total energy**: -0.4587 Ry/atom
**E_form (uncorrected)**: -1.0008 eV per atom

abc: 7.042 7.042 7.894
angles: 98.70 98.70 119.81
Element x y z (fractional)
La1 0.064 0.380 0.197
La2 0.252 0.252 0.803
La3 0.380 0.064 0.197
La4 0.620 0.936 0.803
La5 0.748 0.748 0.197
La6 0.936 0.620 0.803
Ru1 0.332 0.668 0.000
Ru2 0.668 0.332 0.000
C1 0.000 0.000 0.000
Cl1 0.166 0.834 0.500
Cl2 0.500 0.500 0.500
Cl3 0.834 0.166 0.500

=====

Here is a geometry-optimized La8Ru3CCl4 structure from Alexandria via LeMat-Bulk. Energies are from PBE.

**Raw total energy**: -0.4599 Ry/atom
**E_form (uncorrected)**: -1.0156 eV per atom

abc: 8.164 8.164 8.942
angles: 117.21 117.21 59.99
Element x y z (fractional)
La1 0.225 0.225 0.692
La2 0.225 0.743 0.692
La3 0.257 0.775 0.308
La4 0.261 0.261 0.282
La5 0.739 0.739 0.718
La6 0.743 0.225 0.692
La7 0.775 0.257 0.308
La8 0.775 0.775 0.308
Ru1 0.000 0.500 0.500
Ru2 0.500 0.000 0.500
Ru3 0.500 0.500 0.500
C1 0.000 0.000 0.500
Cl1 0.000 0.000 0.000
Cl2 0.000 0.500 0.000
Cl3 0.500 0.000 0.000
Cl4 0.500 0.500 0.000

=====

Here is a geometry-optimized La4CS2Cl structure from Alexandria via LeMat-Bulk. Energies are from PBE.

**Raw total energy**: -0.4712 Ry/atom
**E_form (uncorrected)**: -1.5314 eV per atom

abc: 7.038 4.042 7.253
angles: 90.00 108.57 90.00
Element x y z (fractional)
La1 0.225 0.000 0.217
La2 0.243 0.500 0.777
La3 0.757 0.500 0.223
La4 0.775 0.000 0.783
C1 0.000 0.500 0.000
S1 0.500 0.000 0.000
S2 0.500 0.500 0.500
Cl1 0.000 0.000 0.500

=====

Here is a geometry-optimized La3CSeCl structure from Alexandria via LeMat-Bulk. Energies are from PBE.

**Raw total energy**: -0.4438 Ry/atom
**E_form (uncorrected)**: -1.1484 eV per atom

abc: 8.177 4.078 10.666
angles: 90.00 93.29 90.00
Element x y z (fractional)
La1 0.007 0.250 0.150
La2 0.124 0.250 0.606
La3 0.326 0.750 0.354
La4 0.674 0.250 0.646
La5 0.876 0.750 0.394
La6 0.993 0.750 0.850
C1 0.111 0.250 0.366
C2 0.889 0.750 0.634
Se1 0.392 0.750 0.652
Se2 0.608 0.250 0.348
Cl1 0.256 0.750 0.075
Cl2 0.744 0.250 0.925

=====

Here is a geometry-optimized La4CSe2Cl structure from Alexandria via LeMat-Bulk. Energies are from PBE.

**Raw total energy**: -0.4533 Ry/atom
**E_form (uncorrected)**: -1.4484 eV per atom

abc: 7.272 4.104 7.319
angles: 90.00 108.37 90.00
Element x y z (fractional)
La1 0.213 0.000 0.213
La2 0.228 0.500 0.773
La3 0.772 0.500 0.227
La4 0.787 0.000 0.787
C1 0.000 0.500 0.000
Se1 0.500 0.000 0.000
Se2 0.500 0.500 0.500
Cl1 0.000 0.000 0.500

=====

Here is a geometry-optimized La6SiC2Cl3 structure from Alexandria via LeMat-Bulk. Energies are from PBE.

**Raw total energy**: -0.4404 Ry/atom
**E_form (uncorrected)**: -1.0778 eV per atom

abc: 9.556 9.556 8.688
angles: 108.12 108.12 24.18
Element x y z (fractional)
La1 0.023 0.023 0.255
La2 0.319 0.319 0.445
La3 0.333 0.333 0.868
La4 0.667 0.667 0.132
La5 0.681 0.681 0.555
La6 0.977 0.977 0.745
Si1 0.500 0.500 0.000
C1 0.171 0.171 0.337
C2 0.829 0.829 0.663
Cl1 0.163 0.163 0.831
Cl2 0.500 0.500 0.500
Cl3 0.837 0.837 0.169

=====

Here is a geometry-optimized La4SiCCl2 structure from Alexandria via LeMat-Bulk. Energies are from PBE.

**Raw total energy**: -0.4305 Ry/atom
**E_form (uncorrected)**: -1.1005 eV per atom

abc: 7.166 4.094 7.652
angles: 90.00 108.16 90.00
Element x y z (fractional)
La1 0.212 0.000 0.200
La2 0.236 0.500 0.788
La3 0.764 0.500 0.212
La4 0.788 0.000 0.800
Si1 0.500 0.000 0.000
C1 0.000 0.500 0.000
Cl1 0.000 0.000 0.500
Cl2 0.500 0.500 0.500

=====

Here is a geometry-optimized La6Si2CCl3 structure from Alexandria via LeMat-Bulk. Energies are from PBE.

**Raw total energy**: -0.4228 Ry/atom
**E_form (uncorrected)**: -1.1547 eV per atom

abc: 7.262 7.262 7.575
angles: 99.22 99.22 119.90
Element x y z (fractional)
La1 0.071 0.378 0.213
La2 0.234 0.234 0.786
La3 0.378 0.071 0.213
La4 0.622 0.929 0.787
La5 0.766 0.766 0.214
La6 0.929 0.622 0.787
Si1 0.334 0.666 0.000
Si2 0.666 0.334 0.000
C1 0.000 0.000 0.000
Cl1 0.173 0.827 0.500
Cl2 0.500 0.500 0.500
Cl3 0.827 0.173 0.500

=====

Here is a geometry-optimized La2SmC2Cl2 structure from Alexandria via LeMat-Bulk. Energies are from PBE.

**Raw total energy**: -0.4448 Ry/atom
**E_form (uncorrected)**: -0.8072 eV per atom

abc: 8.123 8.123 8.123
angles: 146.52 146.52 48.07
Element x y z (fractional)
La1 0.104 0.104 0.000
La2 0.896 0.896 0.000
Sm1 0.500 0.500 0.000
C1 0.000 0.500 0.500
C2 0.500 0.000 0.500
Cl1 0.306 0.306 0.000
Cl2 0.694 0.694 0.000

=====

Here is a geometry-optimized La2TbC2Cl2 structure from Alexandria via LeMat-Bulk. Energies are from PBE.

**Raw total energy**: -0.4486 Ry/atom
**E_form (uncorrected)**: -0.8719 eV per atom

abc: 8.122 8.122 8.122
angles: 147.03 147.03 47.32
Element x y z (fractional)
La1 0.105 0.105 0.000
La2 0.895 0.895 0.000
Tb1 0.500 0.500 0.000
C1 0.000 0.500 0.500
C2 0.500 0.000 0.500
Cl1 0.309 0.309 0.000
Cl2 0.691 0.691 0.000

=====

Here is a geometry-optimized LaTcCCl2 structure from Alexandria via LeMat-Bulk. Energies are from PBE.

**Raw total energy**: -0.4297 Ry/atom
**E_form (uncorrected)**: -0.2038 eV per atom

abc: 4.932 4.932 3.916
angles: 90.00 90.00 90.00
Element x y z (fractional)
La1 0.000 0.000 0.000
Tc1 0.500 0.500 0.500
C1 0.500 0.500 0.000
Cl1 0.000 0.500 0.500
Cl2 0.500 0.000 0.500

=====

Here is a geometry-optimized LaThCCl structure from Alexandria via LeMat-Bulk. Energies are from PBE.

**Raw total energy**: -0.5030 Ry/atom
**E_form (uncorrected)**: -0.9895 eV per atom

abc: 7.760 7.760 7.760
angles: 28.12 28.12 28.12
Element x y z (fractional)
La1 0.000 0.000 0.000
Th1 0.207 0.207 0.207
C1 0.598 0.598 0.598
Cl1 0.771 0.771 0.771

=====

Here is a geometry-optimized La2YC2Cl2 structure from Alexandria via LeMat-Bulk. Energies are from PBE.

**Raw total energy**: -0.4685 Ry/atom
**E_form (uncorrected)**: -0.8804 eV per atom

abc: 8.135 8.135 8.135
angles: 147.21 147.21 47.05
Element x y z (fractional)
La1 0.105 0.105 0.000
La2 0.895 0.895 0.000
Y1 0.500 0.500 0.000
C1 0.000 0.500 0.500
C2 0.500 0.000 0.500
Cl1 0.309 0.309 0.000
Cl2 0.691 0.691 0.000

=====

Here is a geometry-optimized La2YCCl structure from Alexandria via LeMat-Bulk. Energies are from PBE.

**Raw total energy**: -0.3596 Ry/atom
**E_form (uncorrected)**: 0.5849 eV per atom

abc: 5.935 5.935 4.375
angles: 90.00 90.00 90.00
Element x y z (fractional)
La1 0.000 0.500 0.000
La2 0.500 0.000 0.000
Y1 0.000 0.000 0.000
C1 0.000 0.000 0.500
Cl1 0.500 0.500 0.500

=====

Here is a geometry-optimized LaYCCl structure from Alexandria via LeMat-Bulk. Energies are from PBE.

**Raw total energy**: -0.4907 Ry/atom
**E_form (uncorrected)**: -1.0614 eV per atom

abc: 7.554 7.554 7.554
angles: 28.44 28.44 28.44
Element x y z (fractional)
La1 0.000 0.000 0.000
Y1 0.207 0.207 0.207
C1 0.598 0.598 0.598
Cl1 0.780 0.780 0.780